[1]
VASP calculation (GGA-PBE) on a relaxed structure of Tb3Sm5Cd.

The structure in POSCAR format:
```
Tb3Sm5Cd
1.0
6.4030 -5.4203 0.0000
6.4030 5.4203 0.0000
-5.9913 0.0000 9.8433
Tb Sm Cd
6 10 2
Cartesian
0.0000 0.0000 0.0000
-2.9956 0.0000 4.9216
0.7442 0.0000 3.4034
-0.4227 0.0000 7.2552
7.2374 0.0000 2.5881
6.0705 0.0000 6.4399
2.9195 2.6991 1.9553
6.4030 2.2917 0.0000
3.8725 0.0000 0.3414
3.8953 2.6991 7.8880
2.5704 0.0000 6.1717
4.2444 0.0000 3.6716
2.9195 -2.6991 1.9553
2.9423 0.0000 9.5019
6.4030 -2.2917 0.0000
3.8953 -2.6991 7.8880
-3.9731 0.0000 7.7081
10.7878 0.0000 2.1351
```

Summary:
- DOS(E_F): 13.9 states/eV/f.u.
- Calculated total energy: -3.813 eV/atom
- Formation energy: 0.454 eV/atom
- Space-group type: No. 12
- Spin magnetization: 0.0 μB per formula unit
- Calculated density: 6.518 g/cm3



[2]
VASP calculation (GGA-PBE) on a relaxed structure of Ce2HgBr.

The structure in POSCAR format:
```
Ce2HgBr
1.0
2.2314 1.2883 6.7965
-2.2314 1.2883 6.7965
0.0000 -2.5767 6.7965
Ce Hg Br
2 1 1
Cartesian
0.0000 0.0000 4.9848
0.0000 0.0000 15.4046
0.0000 0.0000 0.0000
0.0000 0.0000 10.1947
```

Summary:
- DOS(E_F): 13.6 states/eV/f.u.
- E above lowest polymorph: 0.0 meV/atom
- Calculated total energy: -4.084 eV/atom
- ΔE_f (raw): -623 meV per atom
- Space-group type: No. 166
- Spin magnetization: 2.7 μB per formula unit
- Calculated density: 7.942 g/cm3